[1]
Entry from Alexandria: a relaxed structure of ScNb2N (PBE).

extended XYZ file:
```
4
Lattice="3.111 0.000 0.000 1.555 2.694 0.000 1.555 0.898 8.025" Properties=species:S:1:pos:R:3 pbc="T T T"
Nb 4.666 2.694 2.778
Nb 1.555 0.898 5.247
Sc 0.000 0.000 0.000
N 3.111 1.796 4.012
```

- Total moment: 0.5 Bohr magnetons per cell
- ΔE_f (raw): -0.224 eV/atom

---

[2]
Entry from Alexandria: a relaxed structure of Sc4NbN4 (PBE).

extended XYZ file:
```
9
Lattice="-3.302 -3.044 -0.515 -0.686 -1.736 -5.177 1.638 -5.226 0.547" Properties=species:S:1:pos:R:3 pbc="T T T"
Sc -0.276 -6.088 -1.923
Sc -0.085 -3.109 -0.916
Sc -2.265 -6.897 -4.228
Sc -2.074 -3.917 -3.221
N -0.413 -2.386 -3.094
N -1.937 -7.620 -2.051
N -0.525 -5.471 -3.971
N -1.825 -4.535 -1.174
Nb 0.000 0.000 0.000
```

- Total moment: 0.0 Bohr magnetons per cell
- ΔE_f (raw): -1.584 eV/atom

---

[3]
Entry from Alexandria: a relaxed structure of Sc2Nb2N (PBE).

extended XYZ file:
```
10
Lattice="5.807 0.000 0.000 0.000 5.807 0.000 0.000 0.000 5.352" Properties=species:S:1:pos:R:3 pbc="T T T"
N 2.904 2.904 0.000
N 0.000 0.000 0.000
Sc 1.889 4.793 0.000
Sc 1.014 1.889 0.000
Sc 3.918 1.014 0.000
Sc 4.793 3.918 0.000
Nb 3.813 4.898 2.676
Nb 0.909 3.813 2.676
Nb 1.995 0.909 2.676
Nb 4.898 1.995 2.676
```

- Total moment: 0.0 Bohr magnetons per cell
- Offset from the most stable computed form: 0.00 eV/f.u.
- ΔE_f (raw): 0.095 eV/atom

---

[4]
Entry from Alexandria: a relaxed structure of Sc3NbN4 (PBE).

extended XYZ file:
```
8
Lattice="-1.368 0.564 -2.788 4.951 0.474 -2.333 -1.624 -5.241 -0.264" Properties=species:S:1:pos:R:3 pbc="T T T"
Sc 2.475 0.237 -1.167
Sc -0.812 -2.621 -0.132
Sc 0.980 -2.102 -2.693
N 2.504 -3.588 -1.955
N -0.687 -3.551 -2.168
N 0.823 -1.179 -0.643
N 2.646 -0.653 -3.217
Nb -0.684 0.282 -1.394
```

- Total moment: 0.0 Bohr magnetons per cell
- ΔE_f (raw): -1.734 eV/atom

---

[5]
Entry from Alexandria: a relaxed structure of ScNb2N (PBE).

extended XYZ file:
```
8
Lattice="-1.313 -4.679 -4.080 5.474 -2.841 1.496 0.263 -5.751 1.576" Properties=species:S:1:pos:R:3 pbc="T T T"
N 3.908 -6.176 0.890
N 2.080 -3.760 -1.292
Nb 0.118 -4.046 -1.383
Nb 3.134 -4.470 0.233
Nb 2.543 -7.541 0.428
Nb 3.052 -10.485 -1.294
Sc 0.515 -7.095 -1.898
Sc 0.000 0.000 0.000
```

- Total moment: 0.0 Bohr magnetons per cell
- ΔE_f (raw): 0.022 eV/atom

---

[6]
Entry from Alexandria: a relaxed structure of ScNb3N (PBE).

extended XYZ file:
```
5
Lattice="4.353 0.000 0.000 0.000 4.353 0.000 0.000 0.000 4.353" Properties=species:S:1:pos:R:3 pbc="T T T"
Nb 2.176 0.000 0.000
Nb 0.000 2.176 0.000
Nb 0.000 0.000 2.176
Sc 2.176 2.176 2.176
N 0.000 0.000 0.000
```

- Total moment: 0.0 Bohr magnetons per cell
- Offset from the most stable computed form: 0.00 eV/f.u.
- ΔE_f (raw): -0.451 eV/atom

---

[7]
Entry from Alexandria: a relaxed structure of Sc2Nb2N (PBE).

extended XYZ file:
```
5
Lattice="3.457 0.000 0.000 0.000 3.457 0.000 1.728 1.728 8.142" Properties=species:S:1:pos:R:3 pbc="T T T"
N 0.000 0.000 0.000
Sc 3.457 3.457 6.793
Sc 1.728 1.728 1.349
Nb 1.728 3.457 4.071
Nb 3.457 1.728 4.071
```

- Total moment: 0.0 Bohr magnetons per cell
- Offset from the most stable computed form: 2.57 eV/f.u.
- ΔE_f (raw): 0.608 eV/atom

---

[8]
Entry from Alexandria: a relaxed structure of ScNb3N (PBE).

extended XYZ file:
```
5
Lattice="-4.428 1.054 1.196 -1.588 -2.605 -3.583 -0.140 -3.775 2.807" Properties=species:S:1:pos:R:3 pbc="T T T"
Nb -0.070 -1.887 1.403
Nb -0.794 -1.303 -1.791
Nb -2.214 0.527 0.598
Sc 0.000 0.000 0.000
N -3.078 -2.663 0.210
```

- Total moment: 0.0 Bohr magnetons per cell
- Offset from the most stable computed form: 15.57 eV/f.u.
- ΔE_f (raw): 2.663 eV/atom

---

no.,DFT total energy (eV per atom)
1,-8.92
2,-9.22
3,-8.13
4,-9.53
5,-8.68
6,-9.42
7,-7.62
8,-6.31